## Ce2PmGe (GGA-PBE)

Data for a relaxed structure of Ce2PmGe.

The structure belongs to space group P2_1/m (No. 11); the cell edges are 4.369, 4.311 and 11.255 Å and the angles 90.00°, 100.53° and 90.00°. The inequivalent atoms are Ce at (0.013, 0.250, 0.123), Ce at (0.396, 0.250, 0.879), Pm at (0.300, 0.750, 0.606) and Ge at (0.178, 0.750, 0.328).

Its mass density is 7.9 g cm⁻³. The calculation puts the energy of formation from the pure elements at -0.4654 eV/atom. The value obtained for the energy above the most stable polymorph in this dataset is 0 meV per atom. The energy comes out at -46.2 eV per cell.